Entry 1:
This record from the Alexandria database describes AcLa5Mg2 after structural relaxation. The functional is PBE.

abc: 7.241 7.245 7.016
angles: 106.53 106.50 116.70
Fractional positions:
Mg 0.245 0.813 0.502
La 0.251 0.304 0.500
Mg 0.743 0.310 0.498
La 0.796 0.255 0.000
Ac 0.817 0.739 0.000
La 0.751 0.804 0.500
La 0.318 0.237 0.000
La 0.301 0.761 0.000

Output
Its density of states at the Fermi level is 9.48 states/eV per cell. The formation energy is 0.000 eV per atom.

Entry 2:
This record from the Alexandria database describes Ac2La8Mg after structural relaxation. The functional is PBE.

abc: 5.361 5.361 14.676
angles: 90.00 90.00 90.00
Fractional positions:
La 0.000 0.500 0.500
La 0.500 0.500 0.319
La 0.500 0.000 0.500
La 0.500 0.000 0.139
La 0.000 0.500 0.139
La 0.500 0.000 0.861
La 0.000 0.500 0.861
La 0.500 0.500 0.681
Mg 0.000 0.000 0.000
Ac 0.000 0.000 0.313
Ac 0.000 0.000 0.687

Output
Its density of states at the Fermi level is 18.08 states/eV per cell. The formation energy is 0.072 eV per atom.

Entry 3:
This record from the Alexandria database describes Ac2La4Mg after structural relaxation. The functional is PBE.

abc: 5.330 6.451 8.478
angles: 98.46 89.99 65.60
Fractional positions:
La 0.430 0.140 0.705
La 0.859 0.283 0.423
Mg 0.000 0.000 0.000
La 0.141 0.717 0.577
La 0.570 0.860 0.295
Ac 0.284 0.433 0.144
Ac 0.716 0.567 0.856

Output
Its density of states at the Fermi level is 9.87 states/eV per cell. The formation energy is 0.012 eV per atom.